## KBeSbSe3 (PBE)

Data for a relaxed structure of KBeSbSe3.

```
12
Lattice="9.3843 0.0000 0.0000 0.0000 3.9846 0.0000 -2.3920 0.0000 9.3809" Properties=species:S:1:pos:R:3 pbc="T T T"
K 1.6191 0.9962 1.5941
K 5.3732 2.9885 7.7868
Be 1.6211 2.9885 8.6475
Be 5.3712 0.9962 0.7334
Sb -0.1744 0.9962 6.1229
Sb 7.1668 2.9885 3.2580
Se 0.3189 2.9885 3.9723
Se -0.5762 2.9885 8.0977
Se 2.6358 0.9962 7.8857
Se 4.3565 2.9885 1.4952
Se 7.5685 0.9962 1.2832
Se 6.6734 0.9962 5.4086
```

Output
**Raw formation energy**: -0.7086 eV/atom
**Density**: 3.851 g/cm3
**E_tot**: -3.942 eV per atom

=====

## KTaBe2Sb (PBE)

Data for a relaxed structure of KTaBe2Sb.

```
5
Lattice="4.7448 0.0000 0.0000 0.0000 4.7448 0.0000 0.0000 0.0000 5.3986" Properties=species:S:1:pos:R:3 pbc="T T T"
K 0.0000 0.0000 0.0000
Ta 0.0000 0.0000 2.6993
Be 0.0000 2.3724 2.6993
Be 2.3724 0.0000 2.6993
Sb 2.3724 2.3724 0.0000
```

Output
**Raw formation energy**: 1.6587 eV/atom
**Density**: 4.916 g/cm3
**E_tot**: -3.246 eV per atom

=====

## KBeSbTe3 (PBE)

Data for a relaxed structure of KBeSbTe3.

```
12
Lattice="10.0453 0.0000 0.0000 0.0000 4.2678 0.0000 -3.0092 0.0000 9.7534" Properties=species:S:1:pos:R:3 pbc="T T T"
K 1.7475 1.0669 1.8138
K 5.2887 3.2008 7.9396
Be 1.2708 3.2008 9.0090
Be 5.7654 1.0669 0.7445
Sb -0.6170 1.0669 6.4560
Sb 7.6532 3.2008 3.2974
Te -1.1530 3.2008 8.5661
Te 0.3026 3.2008 4.3682
Te 2.3260 1.0669 8.0347
Te 4.7102 3.2008 1.7188
Te 6.7335 1.0669 5.3853
Te 8.1892 1.0669 1.1873
```

Output
**Raw formation energy**: -0.4440 eV/atom
**Density**: 4.390 g/cm3
**E_tot**: -3.506 eV per atom

=====

## KBeSbTe2 (PBE)

Data for a relaxed structure of KBeSbTe2.

```
5
Lattice="5.9957 0.0000 0.0000 0.0000 5.9957 0.0000 0.0000 0.0000 5.9646" Properties=species:S:1:pos:R:3 pbc="T T T"
K 0.0000 0.0000 0.0000
Be 2.9978 2.9978 2.9823
Sb 0.0000 0.0000 2.9823
Te 0.0000 2.9978 0.0000
Te 2.9978 0.0000 0.0000
```

Output
**Raw formation energy**: 1.4865 eV/atom
**Density**: 3.292 g/cm3
**Energy above the lowest structure with this stoichiometry**: 1.503 eV per atom
**E_tot**: -1.559 eV per atom

=====

## KBeSbTe2 (PBE)

Data for a relaxed structure of KBeSbTe2.

```
5
Lattice="5.4978 0.0000 0.0000 0.0000 5.4978 0.0000 0.0000 0.0000 4.7700" Properties=species:S:1:pos:R:3 pbc="T T T"
K 0.0000 0.0000 0.0000
Be 2.7489 2.7489 2.3850
Sb 2.7489 2.7489 0.0000
Te 0.0000 2.7489 2.3850
Te 2.7489 0.0000 2.3850
```

Output
**Raw formation energy**: -0.0162 eV/atom
**Density**: 4.896 g/cm3
**Energy above the lowest structure with this stoichiometry**: 0.000 eV per atom
**E_tot**: -3.062 eV per atom

=====

## K2ScBe (PBE)

Data for a relaxed structure of K2ScBe.

```
4
Lattice="4.4672 -1.7927 0.0000 4.4672 1.7927 0.0000 -2.3053 0.0000 9.9291" Properties=species:S:1:pos:R:3 pbc="T T T"
K 0.0000 0.0000 0.0000
K 0.0053 0.0000 5.7954
Sc 2.4001 0.0000 2.8985
Be 5.0354 0.0000 2.8949
```

Output
**Density**: 1.380 g/cm3
**Energy of formation**: 0.60 eV/atom
**E_tot**: -2.465 eV per atom

=====

## K2ScBe (PBE)

Data for a relaxed structure of K2ScBe.

```
4
Lattice="1.7658 1.0195 12.5323 -1.7658 1.0195 12.5323 0.0000 -2.0389 12.5323" Properties=species:S:1:pos:R:3 pbc="T T T"
K 0.0000 0.0000 9.0692
K 0.0000 0.0000 28.5277
Sc 0.0000 0.0000 0.0000
Be 0.0000 0.0000 18.7984
```

Output
**Density**: 1.621 g/cm3
**Energy of formation**: 1.00 eV/atom
**E_tot**: -2.062 eV per atom

=====

## K3ScBe (PBE)

Data for a relaxed structure of K3ScBe.

```
5
Lattice="7.0591 0.0000 0.0000 0.0000 7.0591 0.0000 0.0000 0.0000 7.0591" Properties=species:S:1:pos:R:3 pbc="T T T"
K 0.0000 0.0000 3.5296
K 0.0000 3.5296 0.0000
K 3.5296 0.0000 0.0000
Sc 0.0000 0.0000 0.0000
Be 3.5296 3.5296 3.5296
```

Output
**Density**: 0.808 g/cm3
**Energy above the lowest structure with this stoichiometry**: 0.336 eV per atom
**Energy of formation**: 1.39 eV/atom
**E_tot**: -1.276 eV per atom

=====

## K2ScBe (PBE)

Data for a relaxed structure of K2ScBe.

```
4
Lattice="3.5749 0.0000 0.0000 0.0000 3.5778 0.0000 -0.0510 0.0000 10.9633" Properties=species:S:1:pos:R:3 pbc="T T T"
K 0.0000 0.0000 0.0000
K 1.7270 1.7889 4.2375
Sc 1.7237 1.7889 7.7104
Be 3.5108 0.0000 6.7258
```

Output
**Density**: 1.565 g/cm3
**Energy of formation**: 0.46 eV/atom
**E_tot**: -2.599 eV per atom

=====

## K2ScBe (PBE)

Data for a relaxed structure of K2ScBe.

```
4
Lattice="3.1705 -6.4076 0.0000 3.1705 6.4076 0.0000 -1.7528 0.0000 2.9784" Properties=species:S:1:pos:R:3 pbc="T T T"
K 1.5852 3.2038 0.0000
K 1.5852 -3.2038 0.0000
Sc -0.8764 0.0000 1.4892
Be 2.2941 0.0000 1.4892
```

Output
**Density**: 1.814 g/cm3
**Energy of formation**: 0.97 eV/atom
**E_tot**: -2.098 eV per atom

=====

## K2ScBe (PBE)

Data for a relaxed structure of K2ScBe.

```
4
Lattice="3.4361 0.0000 0.0000 0.0000 6.4019 0.0000 -0.2855 0.0000 5.5119" Properties=species:S:1:pos:R:3 pbc="T T T"
K 0.7635 0.0000 1.4576
K 2.3871 0.0000 4.0544
Sc 1.7181 3.2010 0.0000
Be -0.1428 3.2010 2.7560
```

Output
**Density**: 1.810 g/cm3
**Energy of formation**: 0.95 eV/atom
**E_tot**: -2.109 eV per atom

=====

## KScBe (PBE)

Data for a relaxed structure of KScBe.

```
3
Lattice="5.2593 0.0000 0.0000 -2.6296 4.5547 0.0000 0.0000 0.0000 2.8707" Properties=species:S:1:pos:R:3 pbc="T T T"
K 0.0000 0.0000 0.0000
Sc 2.6296 1.5182 0.0000
Be 0.0000 3.0364 1.4353
```

Output
**Density**: 2.247 g/cm3
**Energy above the lowest structure with this stoichiometry**: 0.481 eV per atom
**Energy of formation**: 1.00 eV/atom
**E_tot**: -2.715 eV per atom

=====

## K3ScBe (PBE)

Data for a relaxed structure of K3ScBe.

```
5
Lattice="6.3388 0.0000 0.0000 0.0000 6.3388 0.0000 0.0000 0.0000 6.3388" Properties=species:S:1:pos:R:3 pbc="T T T"
K 0.0000 0.0000 3.1694
K 0.0000 3.1694 0.0000
K 3.1694 0.0000 0.0000
Sc 3.1694 3.1694 3.1694
Be 0.0000 0.0000 0.0000
```

Output
**Density**: 1.117 g/cm3
**Energy above the lowest structure with this stoichiometry**: 0.000 eV per atom
**Energy of formation**: 1.06 eV/atom
**E_tot**: -1.612 eV per atom

=====

## K2ScBe (PBE)

Data for a relaxed structure of K2ScBe.

```
4
Lattice="4.4731 0.0000 0.0000 0.0000 4.4731 0.0000 0.0000 0.0000 6.1506" Properties=species:S:1:pos:R:3 pbc="T T T"
K 0.0000 2.2366 0.0000
K 2.2366 0.0000 0.0000
Sc 0.0000 0.0000 3.0753
Be 2.2366 2.2366 3.0753
```

Output
**Density**: 1.783 g/cm3
**Energy of formation**: 0.93 eV/atom
**E_tot**: -2.128 eV per atom

=====

## KScBe (PBE)

Data for a relaxed structure of KScBe.

```
3
Lattice="3.4553 0.0000 0.0000 -1.7277 2.9924 0.0000 0.0000 0.0000 8.0049" Properties=species:S:1:pos:R:3 pbc="T T T"
K 0.0000 0.0000 0.0000
Sc 1.7277 0.9975 3.6192
Be 0.0000 1.9949 5.3462
```

Output
**Density**: 1.867 g/cm3
**Energy above the lowest structure with this stoichiometry**: 0.230 eV per atom
**Energy of formation**: 0.75 eV/atom
**E_tot**: -2.966 eV per atom

=====

## K2ScBe (PBE)

Data for a relaxed structure of K2ScBe.

```
8
Lattice="-6.0775 6.0775 2.5178 6.0775 -6.0775 2.5178 6.0775 6.0775 -2.5178" Properties=species:S:1:pos:R:3 pbc="T T T"
K 1.2284 3.0387 0.6294
K -3.0387 4.8491 1.8883
K -1.2284 9.1162 0.6294
K 3.0387 7.3059 1.8883
Sc 6.0775 0.0000 1.2589
Sc 0.0000 0.0000 2.5178
Be 0.0000 0.0000 0.0000
Be 0.0000 6.0775 1.2589
```

Output
**Density**: 1.180 g/cm3
**Energy of formation**: 0.91 eV/atom
**E_tot**: -2.153 eV per atom

=====

## K2ScBe (PBE)

Data for a relaxed structure of K2ScBe.

```
4
Lattice="3.4053 0.0000 0.0000 0.0000 3.4053 0.0000 0.0000 0.0000 11.6982" Properties=species:S:1:pos:R:3 pbc="T T T"
K 0.0000 0.0000 2.4641
K 0.0000 0.0000 9.2341
Sc 1.7026 1.7026 5.8491
Be 1.7026 1.7026 0.0000
```

Output
**Density**: 1.618 g/cm3
**Energy of formation**: 0.98 eV/atom
**E_tot**: -2.086 eV per atom

=====

## KScBe (PBE)

Data for a relaxed structure of KScBe.

```
3
Lattice="0.0000 3.4974 3.4974 3.4974 0.0000 3.4974 3.4974 3.4974 0.0000" Properties=species:S:1:pos:R:3 pbc="T T T"
K 0.0000 0.0000 0.0000
Sc 1.7487 1.7487 1.7487
Be 5.2462 5.2462 5.2462
```

Output
**Density**: 1.806 g/cm3
**Energy above the lowest structure with this stoichiometry**: 1.102 eV per atom
**Energy of formation**: 1.62 eV/atom
**E_tot**: -2.094 eV per atom

=====

## KScBe (PBE)

Data for a relaxed structure of KScBe.

```
3
Lattice="0.0000 3.5350 3.5350 3.5350 0.0000 3.5350 3.5350 3.5350 0.0000" Properties=species:S:1:pos:R:3 pbc="T T T"
K 0.0000 0.0000 0.0000
Sc 3.5350 3.5350 3.5350
Be 5.3025 5.3025 5.3025
```

Output
**Density**: 1.749 g/cm3
**Energy above the lowest structure with this stoichiometry**: 0.565 eV per atom
**Energy of formation**: 1.09 eV/atom
**E_tot**: -2.631 eV per atom

=====

## K2ScBe (PBE)

Data for a relaxed structure of K2ScBe.

```
4
Lattice="10.4841 -1.6790 0.0000 10.4841 1.6790 0.0000 -0.8698 0.0000 4.2100" Properties=species:S:1:pos:R:3 pbc="T T T"
K 3.0137 0.0000 0.6188
K 17.0848 0.0000 3.5912
Sc -0.4349 0.0000 2.1050
Be 10.4841 0.0000 0.0000
```

Output
**Density**: 1.481 g/cm3
**Energy of formation**: 0.51 eV/atom
**E_tot**: -2.549 eV per atom

=====

## K2ScBe (PBE)

Data for a relaxed structure of K2ScBe.

```
4
Lattice="-1.7175 3.1897 6.7657 1.7175 -3.1897 6.7657 1.7175 3.1897 -6.7657" Properties=species:S:1:pos:R:3 pbc="T T T"
K 0.0000 0.0000 0.0000
K 0.0000 3.1897 2.6099
Sc 1.7175 0.0000 4.5238
Be 0.0000 0.0000 6.3888
```

Output
**Density**: 1.480 g/cm3
**Energy of formation**: 0.73 eV/atom
**E_tot**: -2.332 eV per atom

=====

## KScBe (PBE)

Data for a relaxed structure of KScBe.

```
3
Lattice="-1.6949 1.6949 7.1521 1.6949 -1.6949 7.1521 1.6949 1.6949 -7.1521" Properties=species:S:1:pos:R:3 pbc="T T T"
K 0.0000 0.0000 0.0000
Sc 0.0000 0.0000 3.6269
Be 0.0000 0.0000 9.6338
```

Output
**Density**: 1.881 g/cm3
**Energy above the lowest structure with this stoichiometry**: 0.000 eV per atom
**Energy of formation**: 0.52 eV/atom
**E_tot**: -3.196 eV per atom

=====

## K2ScBe (PBE)

Data for a relaxed structure of K2ScBe.

```
4
Lattice="3.2231 -5.9466 0.0000 3.2231 5.9466 0.0000 0.0000 0.0000 3.5176" Properties=species:S:1:pos:R:3 pbc="T T T"
K 1.6115 2.9733 0.0000
K 1.6115 -2.9733 0.0000
Sc 0.0000 0.0000 1.7588
Be 3.2231 0.0000 1.7588
```

Output
**Density**: 1.628 g/cm3
**Energy of formation**: 1.03 eV/atom
**E_tot**: -2.037 eV per atom

=====

## K2ScBe (PBE)

Data for a relaxed structure of K2ScBe.

```
4
Lattice="3.5396 0.0000 0.0000 0.0000 5.8438 0.0000 0.0000 0.0000 6.4926" Properties=species:S:1:pos:R:3 pbc="T T T"
K 0.0000 0.0000 1.5269
K 0.0000 0.0000 4.9657
Sc 1.7698 2.9219 3.2463
Be 1.7698 2.9219 0.0000
```

Output
**Density**: 1.634 g/cm3
**Energy of formation**: 1.01 eV/atom
**E_tot**: -2.053 eV per atom

=====

## KSc4Be (PBE)

Data for a relaxed structure of KSc4Be.

```
6
Lattice="0.0000 4.3227 4.3227 4.3227 0.0000 4.3227 4.3227 4.3227 0.0000" Properties=species:S:1:pos:R:3 pbc="T T T"
K 0.0000 0.0000 0.0000
Sc 5.3773 3.2681 3.2681
Sc 3.2681 5.3773 3.2681
Sc 3.2681 3.2681 5.3773
Sc 5.3773 5.3773 5.3773
Be 2.1614 2.1614 2.1614
```

Output
**Density**: 2.343 g/cm3
**Energy of formation**: 0.82 eV/atom
**E_tot**: -4.209 eV per atom

=====

## K2ScBe (PBE)

Data for a relaxed structure of K2ScBe.

```
4
Lattice="-2.2344 2.2344 6.1731 2.2344 -2.2344 6.1731 2.2344 2.2344 -6.1731" Properties=species:S:1:pos:R:3 pbc="T T T"
K 2.2344 0.0000 3.0866
K 0.0000 2.2344 3.0866
Sc 0.0000 0.0000 0.0000
Be 0.0000 0.0000 6.1731
```

Output
**Density**: 1.780 g/cm3
**Energy of formation**: 0.94 eV/atom
**E_tot**: -2.124 eV per atom

=====

## K2ScBe2Se4 (PBE)

Data for a relaxed structure of K2ScBe2Se4.

```
9
Lattice="7.3674 -1.9172 0.0000 7.3674 1.9172 0.0000 -2.5529 0.0000 7.4267" Properties=species:S:1:pos:R:3 pbc="T T T"
K 1.7852 0.0000 0.2953
K 10.3966 0.0000 7.1314
Sc -1.2765 0.0000 3.7134
Be 3.5041 0.0000 3.8800
Be 8.6778 0.0000 3.5467
Se 1.3398 0.0000 4.8710
Se 5.0846 0.0000 5.4094
Se 7.0972 0.0000 2.0174
Se 10.8420 0.0000 2.5557
```

Output
**Raw formation energy**: -1.0592 eV/atom
**Density**: 3.617 g/cm3
**E_tot**: -4.383 eV per atom

=====

## KScBeTe3 (PBE)

Data for a relaxed structure of KScBeTe3.

```
12
Lattice="9.7237 0.0000 0.0000 0.0000 4.1411 0.0000 -3.6248 0.0000 9.4458" Properties=species:S:1:pos:R:3 pbc="T T T"
K 1.1556 1.0353 2.2187
K 4.9433 3.1058 7.2272
Sc 0.1176 3.1058 8.1258
Sc 5.9812 1.0353 1.3200
Be -1.4003 1.0353 5.6628
Be 7.4992 3.1058 3.7831
Te -1.9593 1.0353 8.0412
Te -0.0542 3.1058 5.0591
Te 3.9364 3.1058 1.5753
Te 2.1624 1.0353 7.8706
Te 6.1530 1.0353 4.3868
Te 8.0581 3.1058 1.4046
```

Output
**Raw formation energy**: -0.9355 eV/atom
**Density**: 4.155 g/cm3
**E_tot**: -4.366 eV per atom

=====

## KSc2TiBe (PBE)

Data for a relaxed structure of KSc2TiBe.

```
5
Lattice="4.8297 0.0000 0.0000 0.0000 4.8297 0.0000 0.0000 0.0000 4.5440" Properties=species:S:1:pos:R:3 pbc="T T T"
K 0.0000 0.0000 0.0000
Sc 0.0000 2.4149 0.0000
Sc 2.4149 0.0000 0.0000
Ti 2.4149 2.4149 2.2720
Be 0.0000 0.0000 2.2720
```

Output
**Density**: 2.912 g/cm3
**Energy of formation**: 1.71 eV/atom
**E_tot**: -3.362 eV per atom